# 1
Material: PuScB
Method: DFT, PBE-GGA
State: relaxed

Output
The energy above the most stable polymorph in this dataset is 2.33 eV/f.u. The space group is No. 216. The volume comes out at 19.09 A^3/atom. The value obtained for the total energy is -24.7 eV per cell.

abc: 4.3267 4.3267 4.3267
angles: 60.00 60.00 60.00
With the nearest neighbours (Å) after each atom.
Sites, in units of the cell vectors:
Pu1 0.0000 0.0000 0.0000  4 Sc 2.65, 4 B 2.65
Sc1 0.2500 0.2500 0.2500  4 Pu 2.65
B1 0.7500 0.7500 0.7500  4 Pu 2.65



# 2
Material: CsScNb
Method: DFT, PBE-GGA
State: relaxed

Output
The energy above the most stable polymorph in this dataset is 1.20 eV/f.u. The space group is No. 216. The volume comes out at 27.55 A^3/atom. The value obtained for the total energy is -10.7 eV per cell.

abc: 4.8895 4.8895 4.8895
angles: 60.00 60.00 60.00
With the nearest neighbours (Å) after each atom.
Sites, in units of the cell vectors:
Cs1 0.0000 0.0000 0.0000  4 Nb 2.99, 4 Sc 2.99
Sc1 0.2500 0.2500 0.2500  4 Cs 2.99
Nb1 0.7500 0.7500 0.7500  4 Cs 2.99



# 3
Material: Li6Ho2O7
Method: DFT, PBE-GGA
State: relaxed

Output
The space group is No. 2. The volume comes out at 11.20 A^3/atom. The value obtained for the total energy is -88.0 eV per cell.

abc: 5.4421 5.5520 6.1158
angles: 68.22 82.76 78.80
With the nearest neighbours (Å) after each atom.
Sites, in units of the cell vectors:
Li1 0.0371 0.2192 0.4158  4 O 1.93-2.08
Li2 0.3474 0.6829 0.2911  3 O 1.87-2.03
Li3 0.4012 0.7369 0.8269  4 O 1.99-2.21
Li4 0.5988 0.2631 0.1731  4 O 1.99-2.21
Li5 0.6526 0.3171 0.7089  3 O 1.87-2.03
Li6 0.9629 0.7808 0.5842  4 O 1.93-2.08
Ho1 0.1452 0.2529 0.9200  6 O 2.15-2.26
Ho2 0.8548 0.7471 0.0800  6 O 2.15-2.26
O1 0.0398 0.0049 0.7460  2 Li 1.93-1.98
O2 0.2240 0.4711 0.1443  4 Li 1.97-2.20
O3 0.3198 0.5595 0.6215  4 Li 1.87-2.08
O4 0.5000 0.0000 0.0000  2 Ho 2.15, 4 Li 2.20-2.27
O5 0.6802 0.4405 0.3785  4 Li 1.87-2.08
O6 0.7760 0.5289 0.8557  4 Li 1.97-2.20
O7 0.9602 0.9951 0.2540  2 Li 1.93-1.98



# 4
Material: InMoAuSe2S
Method: DFT, PBE-GGA
State: relaxed

Output
The space group is No. 63. The volume comes out at 22.77 A^3/atom. The value obtained for the total energy is -59.0 eV per cell.

abc: 8.6204 8.6204 9.4065
angles: 90.00 90.00 156.99
With the nearest neighbours (Å) after each atom.
Sites, in units of the cell vectors:
In1 0.1636 0.8364 0.7500  2 Au 2.76, 2 S 2.82, 2 Se 2.83
In2 0.8364 0.1636 0.2500  2 Au 2.76, 2 S 2.82, 2 Se 2.83
Mo1 0.5000 0.5000 0.0000  2 S 2.41, 4 Se 2.57
Mo2 0.5000 0.5000 0.5000  2 S 2.41, 4 Se 2.57
Au1 0.2088 0.7912 0.2500  2 Se 2.61, 2 In 2.76
Au2 0.7912 0.2088 0.7500  2 Se 2.61, 2 In 2.76
Se1 0.1111 0.8889 0.0355  2 Mo 2.57, 1 Au 2.61, 1 In 2.83
Se2 0.1111 0.8889 0.4645  2 Mo 2.57, 1 Au 2.61, 1 In 2.83
Se3 0.8889 0.1111 0.5355  2 Mo 2.57, 1 Au 2.61, 1 In 2.83
Se4 0.8889 0.1111 0.9645  2 Mo 2.57, 1 Au 2.61, 1 In 2.83
S1 0.4687 0.5313 0.2500  2 Mo 2.41
S2 0.5313 0.4687 0.7500  2 Mo 2.41